(1)
# GGA-PBE Ce2PmGa4, optimized geometry
# E   -0.3424 Ry/atom
# Size of the total moment   2.21 μB/f.u.
# ρ   6.9 Mg/m³
# ΔH_f (0 K)   -555 meV per atom
data_Ce2PmGa4
_space_group_name_H-M_alt 'P 1'
_space_group_IT_number 1
_space_group_name_Hall 'P 1'
_cell_length_a 4.186
_cell_length_b 4.271
_cell_length_c 9.889
_cell_angle_alpha 102.47
_cell_angle_beta 102.22
_cell_angle_gamma 90.00
loop_
_atom_site_label
_atom_site_type_symbol
_atom_site_fract_x
_atom_site_fract_y
_atom_site_fract_z
Ga1 Ga 0.359 0.359 0.718
Ga2 Ga 0.934 0.434 0.869
Ga3 Ga 0.641 0.641 0.282
Ga4 Ga 0.066 0.566 0.131
Ce1 Ce 0.811 0.811 0.622
Ce2 Ce 0.189 0.189 0.378
Pm1 Pm 0.500 0.000 0.000

(2)
# GGA-PBE Ce2Pm2Ga3, optimized geometry
# E   -0.3369 Ry/atom
# Size of the total moment   2.07 μB/f.u.
# ρ   6.6 Mg/m³
# ΔH_f (0 K)   -234 meV per atom
data_Ce2Pm2Ga3
_space_group_name_H-M_alt 'P 1'
_space_group_IT_number 1
_space_group_name_Hall 'P 1'
_cell_length_a 3.528
_cell_length_b 8.166
_cell_length_c 8.091
_cell_angle_alpha 120.36
_cell_angle_beta 102.59
_cell_angle_gamma 90.00
loop_
_atom_site_label
_atom_site_type_symbol
_atom_site_fract_x
_atom_site_fract_y
_atom_site_fract_z
Pm1 Pm 0.379 0.148 0.759
Pm2 Pm 0.621 0.852 0.241
Ga1 Ga 0.000 0.500 0.000
Ga2 Ga 0.773 0.292 0.546
Ga3 Ga 0.227 0.708 0.454
Ce1 Ce 0.113 0.274 0.227
Ce2 Ce 0.887 0.726 0.773

(3)
# GGA-PBE Ce2PmGa6, optimized geometry
# E   -0.3137 Ry/atom
# Size of the total moment   0.85 μB/f.u.
# ρ   6.7 Mg/m³
# ΔH_f (0 K)   -404 meV per atom
data_Ce2PmGa6
_space_group_name_H-M_alt 'P 1'
_space_group_IT_number 1
_space_group_name_Hall 'P 1'
_cell_length_a 4.484
_cell_length_b 7.733
_cell_length_c 7.733
_cell_angle_alpha 55.34
_cell_angle_beta 73.15
_cell_angle_gamma 73.15
loop_
_atom_site_label
_atom_site_type_symbol
_atom_site_fract_x
_atom_site_fract_y
_atom_site_fract_z
Ga1 Ga 0.810 0.885 0.496
Ga2 Ga 0.190 0.504 0.115
Ga3 Ga 0.190 0.115 0.504
Ga4 Ga 0.000 0.202 0.798
Ga5 Ga 0.810 0.496 0.885
Ga6 Ga 0.000 0.798 0.202
Ce1 Ce 0.608 0.892 0.892
Ce2 Ce 0.392 0.108 0.108
Pm1 Pm 0.500 0.500 0.500

(4)
# GGA-PBE CePm2Ga, optimized geometry
# E   -0.3379 Ry/atom
# Size of the total moment   1.00 μB/f.u.
# ρ   6.8 Mg/m³
# ΔH_f (0 K)   18 meV per atom
data_CePm2Ga
_space_group_name_H-M_alt 'P 1'
_space_group_IT_number 1
_space_group_name_Hall 'P 1'
_cell_length_a 5.067
_cell_length_b 5.067
_cell_length_c 6.243
_cell_angle_alpha 66.06
_cell_angle_beta 66.06
_cell_angle_gamma 60.00
loop_
_atom_site_label
_atom_site_type_symbol
_atom_site_fract_x
_atom_site_fract_y
_atom_site_fract_z
Ga1 Ga 0.685 0.685 0.946
Pm1 Pm 0.052 0.052 0.844
Pm2 Pm 0.275 0.275 0.176
Ce1 Ce 0.488 0.488 0.535

(5)
# GGA-PBE CePm2Ga, optimized geometry
# E   -0.3551 Ry/atom
# Size of the total moment   0.40 μB/f.u.
# ρ   7.4 Mg/m³
# ΔH_f (0 K)   -216 meV per atom
data_CePm2Ga
_space_group_name_H-M_alt 'P 1'
_space_group_IT_number 1
_space_group_name_Hall 'P 1'
_cell_length_a 3.560
_cell_length_b 3.560
_cell_length_c 8.852
_cell_angle_alpha 90.00
_cell_angle_beta 90.00
_cell_angle_gamma 90.00
loop_
_atom_site_label
_atom_site_type_symbol
_atom_site_fract_x
_atom_site_fract_y
_atom_site_fract_z
Ga1 Ga 0.500 0.500 0.000
Pm1 Pm 0.000 0.000 0.782
Pm2 Pm 0.000 0.000 0.218
Ce1 Ce 0.500 0.500 0.500

(6)
# GGA-PBE CePm2Ga4, optimized geometry
# E   -0.2782 Ry/atom
# Size of the total moment   0.44 μB/f.u.
# ρ   5.5 Mg/m³
# ΔH_f (0 K)   149 meV per atom
data_CePm2Ga4
_space_group_name_H-M_alt 'P 1'
_space_group_IT_number 1
_space_group_name_Hall 'P 1'
_cell_length_a 5.268
_cell_length_b 5.268
_cell_length_c 8.623
_cell_angle_alpha 107.79
_cell_angle_beta 107.79
_cell_angle_gamma 90.00
loop_
_atom_site_label
_atom_site_type_symbol
_atom_site_fract_x
_atom_site_fract_y
_atom_site_fract_z
Ga1 Ga 0.815 0.815 0.630
Ga2 Ga 0.185 0.185 0.370
Ga3 Ga 0.500 0.000 0.000
Ga4 Ga 0.000 0.500 0.000
Ce1 Ce 0.000 0.000 0.000
Pm1 Pm 0.618 0.618 0.237
Pm2 Pm 0.382 0.382 0.763

(7)
# GGA-PBE Ce2Pm2Ga3, optimized geometry
# E   -0.3499 Ry/atom
# Size of the total moment   1.12 μB/f.u.
# ρ   7.6 Mg/m³
# ΔH_f (0 K)   -411 meV per atom
data_Ce2Pm2Ga3
_space_group_name_H-M_alt 'P 1'
_space_group_IT_number 1
_space_group_name_Hall 'P 1'
_cell_length_a 4.148
_cell_length_b 3.396
_cell_length_c 12.236
_cell_angle_alpha 90.00
_cell_angle_beta 80.24
_cell_angle_gamma 90.00
loop_
_atom_site_label
_atom_site_type_symbol
_atom_site_fract_x
_atom_site_fract_y
_atom_site_fract_z
Pm1 Pm 0.427 0.500 0.145
Pm2 Pm 0.573 0.500 0.855
Ga1 Ga 0.144 0.000 0.712
Ga2 Ga 0.000 0.000 0.000
Ga3 Ga 0.856 0.000 0.288
Ce1 Ce 0.712 0.500 0.576
Ce2 Ce 0.288 0.500 0.424

(8)
# GGA-PBE Ce2PmGa3, optimized geometry
# E   -0.3517 Ry/atom
# Size of the total moment   0.62 μB/f.u.
# ρ   7.4 Mg/m³
# ΔH_f (0 K)   -502 meV per atom
data_Ce2PmGa3
_space_group_name_H-M_alt 'P 1'
_space_group_IT_number 1
_space_group_name_Hall 'P 1'
_cell_length_a 3.371
_cell_length_b 3.371
_cell_length_c 12.464
_cell_angle_alpha 90.00
_cell_angle_beta 90.00
_cell_angle_gamma 90.00
loop_
_atom_site_label
_atom_site_type_symbol
_atom_site_fract_x
_atom_site_fract_y
_atom_site_fract_z
Ga1 Ga 0.000 0.000 0.333
Ga2 Ga 0.000 0.000 0.667
Ga3 Ga 0.000 0.000 0.000
Pm1 Pm 0.500 0.500 0.500
Ce1 Ce 0.500 0.500 0.168
Ce2 Ce 0.500 0.500 0.832

(9)
# GGA-PBE CePm2Ga, optimized geometry
# E   -0.3429 Ry/atom
# Size of the total moment   0.00 μB/f.u.
# ρ   7.7 Mg/m³
# ΔH_f (0 K)   -50 meV per atom
data_CePm2Ga
_space_group_name_H-M_alt 'P 1'
_space_group_IT_number 1
_space_group_name_Hall 'P 1'
_cell_length_a 5.348
_cell_length_b 5.348
_cell_length_c 5.348
_cell_angle_alpha 60.00
_cell_angle_beta 60.00
_cell_angle_gamma 60.00
loop_
_atom_site_label
_atom_site_type_symbol
_atom_site_fract_x
_atom_site_fract_y
_atom_site_fract_z
Ga1 Ga 0.500 0.500 0.500
Pm1 Pm 0.250 0.250 0.250
Pm2 Pm 0.750 0.750 0.750
Ce1 Ce 0.000 0.000 0.000

(10)
# GGA-PBE CePm2Ga4Pt3, optimized geometry
# E   -0.3957 Ry/atom
# Size of the total moment   0.53 μB/f.u.
# ρ   10.1 Mg/m³
# ΔH_f (0 K)   -817 meV per atom
data_CePm2Ga4Pt3
_space_group_name_H-M_alt 'P 1'
_space_group_IT_number 1
_space_group_name_Hall 'P 1'
_cell_length_a 4.260
_cell_length_b 4.260
_cell_length_c 11.767
_cell_angle_alpha 90.00
_cell_angle_beta 90.00
_cell_angle_gamma 90.00
loop_
_atom_site_label
_atom_site_type_symbol
_atom_site_fract_x
_atom_site_fract_y
_atom_site_fract_z
Ga1 Ga 0.500 0.000 0.672
Ga2 Ga 0.000 0.500 0.328
Ga3 Ga 0.500 0.500 0.000
Ga4 Ga 0.000 0.000 0.000
Pt1 Pt 0.000 0.500 0.120
Pt2 Pt 0.500 0.000 0.880
Pt3 Pt 0.000 0.000 0.500
Pm1 Pm 0.500 0.000 0.223
Pm2 Pm 0.000 0.500 0.777
Ce1 Ce 0.500 0.500 0.500

(11)
# GGA-PBE CePmGaPt, optimized geometry
# E   -0.4215 Ry/atom
# Size of the total moment   0.93 μB/f.u.
# ρ   9.3 Mg/m³
# ΔH_f (0 K)   -797 meV per atom
data_CePmGaPt
_space_group_name_H-M_alt 'P 1'
_space_group_IT_number 1
_space_group_name_Hall 'P 1'
_cell_length_a 4.089
_cell_length_b 4.481
_cell_length_c 5.748
_cell_angle_alpha 90.00
_cell_angle_beta 110.83
_cell_angle_gamma 90.00
loop_
_atom_site_label
_atom_site_type_symbol
_atom_site_fract_x
_atom_site_fract_y
_atom_site_fract_z
Ga1 Ga 0.426 0.000 0.852
Pm1 Pm 0.142 0.000 0.283
Ce1 Ce 0.859 0.500 0.717
Pt1 Pt 0.573 0.500 0.147

(12)
# GGA-PBE CePmGa2Pt5, optimized geometry
# E   -0.4494 Ry/atom
# Size of the total moment   0.89 μB/f.u.
# ρ   13.7 Mg/m³
# ΔH_f (0 K)   -898 meV per atom
data_CePmGa2Pt5
_space_group_name_H-M_alt 'P 1'
_space_group_IT_number 1
_space_group_name_Hall 'P 1'
_cell_length_a 4.255
_cell_length_b 4.255
_cell_length_c 9.355
_cell_angle_alpha 90.00
_cell_angle_beta 90.00
_cell_angle_gamma 90.00
loop_
_atom_site_label
_atom_site_type_symbol
_atom_site_fract_x
_atom_site_fract_y
_atom_site_fract_z
Pm1 Pm 0.000 0.000 0.500
Pt1 Pt 0.500 0.500 0.500
Pt2 Pt 0.000 0.500 0.274
Pt3 Pt 0.000 0.500 0.726
Pt4 Pt 0.500 0.000 0.274
Pt5 Pt 0.500 0.000 0.726
Ga1 Ga 0.500 0.500 0.866
Ga2 Ga 0.500 0.500 0.134
Ce1 Ce 0.000 0.000 0.000